DFT (GGA-PBE) results for an optimized crystal structure of KRb2CdAu2.

a = 5.3176 Å, b = 8.6442 Å, c = 9.3431 Å
α = 90.00°, β = 90.00°, γ = 90.00°
With the nearest neighbours (Å) after each atom.
Fractional positions:
K 0.0000 0.5120 0.5394  6 Au 3.37-3.69, 2 Cd 3.56
K 0.0000 0.0120 0.4606  6 Au 3.37-3.69, 2 Cd 3.56
Au 0.5000 0.3021 0.4042  2 Cd 2.97-3.04
Au 0.0000 0.7341 0.2080  2 Cd 2.96
Au 0.5000 0.8021 0.5958  2 Cd 2.97-3.04
Au 0.0000 0.2341 0.7920  2 Cd 2.96
Cd 0.5000 0.1401 0.6843  4 Au 2.96-3.04
Cd 0.5000 0.6401 0.3157  4 Au 2.96-3.04
Rb 0.5000 0.0044 0.1189  3 Au 3.64-3.71, 1 Cd 3.65, 4 Rb 3.94-4.04
Rb 0.0000 0.8530 0.8402  4 Au 3.33-3.59
Rb 0.5000 0.5044 0.8811  3 Au 3.64-3.71, 1 Cd 3.65, 4 Rb 3.94-4.04
Rb 0.0000 0.3530 0.1598  4 Au 3.33-3.59

The calculation puts the uncorrected energy at -23.5 eV/cell.